Entry from Alexandria via LeMat-Bulk: a relaxed structure of Hf2Nb4Mo (PBE).

Values from the calculation:
VASP energy in eV/cell: -63.47
SG: No. 139
Density of states at the Fermi level in states/eV/cell: 11.637
Total moment in μB per formula unit: 0.00

a = 4.7813 Å, b = 4.7813 Å, c = 7.7387 Å
α = 72.01°, β = 72.01°, γ = 90.00°
Fractional positions:
Mo (0.0000, 0.0000, 0.0000)
Hf (0.6244, 0.6244, 0.7511)
Hf (0.3756, 0.3756, 0.2489)
Nb (0.8159, 0.8159, 0.3682)
Nb (0.1841, 0.1841, 0.6318)
Nb (0.0000, 0.5000, 0.0000)
Nb (0.5000, 0.0000, 0.0000)


Entry from Alexandria via LeMat-Bulk: a relaxed structure of Hf2NbMo (PBE).

Values from the calculation:
VASP energy in eV/cell: -40.54
SG: No. 123
ΔE to the lowest computed polymorph in meV/atom: 27
Density of states at the Fermi level in states/eV/cell: 8.024
Total moment in μB per formula unit: 0.00

a = 3.3785 Å, b = 4.7555 Å, c = 4.7555 Å
α = 90.00°, β = 90.00°, γ = 90.00°
Fractional positions:
Mo (0.5000, 0.5000, 0.5000)
Hf (0.0000, 0.0000, 0.5000)
Hf (0.0000, 0.5000, 0.0000)
Nb (0.5000, 0.0000, 0.0000)


no.,V (Å³ per cell)
1,159.1
2,76.4